<1>
The following is a DFT calculation (PBE-GGA) of a relaxed KLaFeTe3 crystal.

a = 8.1917 Å, b = 8.1917 Å, c = 12.0560 Å
α = 90.00°, β = 90.00°, γ = 31.97°
With the nearest neighbours (Å) after each atom.
Element x y z (fractional)
Fe 0.4693 0.4693 0.2500  4 Te 2.64-2.75
Fe 0.5307 0.5307 0.7500  4 Te 2.64-2.75
K 0.7471 0.7471 0.2500  6 Te 3.60-3.61
K 0.2529 0.2529 0.7500  6 Te 3.60-3.61
La 0.0000 0.0000 0.0000  6 Te 3.20-3.21
La 0.0000 0.0000 0.5000  6 Te 3.20-3.21
Te 0.3671 0.3671 0.0765  1 Fe 2.64
Te 0.0688 0.0688 0.2500  2 Fe 2.75
Te 0.3671 0.3671 0.4235  1 Fe 2.64
Te 0.6329 0.6329 0.5765  1 Fe 2.64
Te 0.9312 0.9312 0.7500  2 Fe 2.75
Te 0.6329 0.6329 0.9235  1 Fe 2.64

Calculated values
Space-group type: Cmcm


<2>
The following is a DFT calculation (PBE-GGA) of a relaxed KLaFeTe3 crystal.

a = 9.4517 Å, b = 4.4382 Å, c = 10.9676 Å
α = 90.00°, β = 106.72°, γ = 90.00°
With the nearest neighbours (Å) after each atom.
Element x y z (fractional)
Fe 0.5623 0.2500 0.0783  4 Te 2.62-2.75, 2 Fe 2.85
Fe 0.4377 0.7500 0.9217  4 Te 2.62-2.75, 2 Fe 2.85
K 0.2535 0.7500 0.2139  6 Te 3.49-3.67
K 0.7465 0.2500 0.7861  6 Te 3.49-3.67
La 0.8112 0.7500 0.3583  6 Te 3.20-3.29
La 0.1888 0.2500 0.6417  6 Te 3.20-3.29
Te 0.7201 0.7500 0.0453  3 Fe 2.62-2.75
Te 0.5576 0.2500 0.3182  1 Fe 2.64
Te 0.0472 0.2500 0.3393  3 La 3.20, 2 K 3.49
Te 0.9528 0.7500 0.6607  3 La 3.20, 2 K 3.49
Te 0.4424 0.7500 0.6818  1 Fe 2.64
Te 0.2799 0.2500 0.9547  3 Fe 2.62-2.75

Calculated values
Space-group type: P2_1/m


Tell me which of them is the least stable. Sure, it is <1>.


<1>
The following is a DFT calculation (PBE-GGA) of a relaxed KMgFeRe crystal.

a = 4.7461 Å, b = 4.7461 Å, c = 4.7461 Å
α = 60.00°, β = 60.00°, γ = 60.00°
With the nearest neighbours (Å) after each atom.
Element x y z (fractional)
Fe 0.2500 0.2500 0.2500  4 Re 2.91, 4 K 2.91
K 0.0000 0.0000 0.0000  4 Fe 2.91, 4 Mg 2.91
Mg 0.7500 0.7500 0.7500  4 Re 2.91, 4 K 2.91
Re 0.5000 0.5000 0.5000  4 Fe 2.91, 4 Mg 2.91

Calculated values
Space-group type: F-43m


<2>
The following is a DFT calculation (PBE-GGA) of a relaxed KMgFeRe crystal.

a = 4.5597 Å, b = 4.5597 Å, c = 4.5597 Å
α = 60.00°, β = 60.00°, γ = 60.00°
With the nearest neighbours (Å) after each atom.
Element x y z (fractional)
Fe 0.5000 0.5000 0.5000  4 Re 2.79, 4 Mg 2.79
K 0.0000 0.0000 0.0000  4 Re 2.79, 4 Mg 2.79
Mg 0.7500 0.7500 0.7500  4 Fe 2.79, 4 K 2.79
Re 0.2500 0.2500 0.2500  4 K 2.79, 4 Fe 2.79

Calculated values
Space-group type: F-43m


<3>
The following is a DFT calculation (PBE-GGA) of a relaxed KMgFeRe crystal.

a = 4.8550 Å, b = 4.8550 Å, c = 4.8550 Å
α = 60.00°, β = 60.00°, γ = 60.00°
With the nearest neighbours (Å) after each atom.
Element x y z (fractional)
Fe 0.0000 0.0000 0.0000  4 Mg 2.97, 4 K 2.97
K 0.2500 0.2500 0.2500  4 Re 2.97, 4 Fe 2.97
Mg 0.7500 0.7500 0.7500  4 Fe 2.97, 4 Re 2.97
Re 0.5000 0.5000 0.5000  4 K 2.97, 4 Mg 2.97

Calculated values
Space-group type: F-43m


Tell me which of them is the least stable. Sure, it is <3>.


<1>
The following is a DFT calculation (PBE-GGA) of a relaxed KMgFeTe3 crystal.

a = 9.1477 Å, b = 4.3406 Å, c = 10.0641 Å
α = 90.00°, β = 114.03°, γ = 90.00°
With the nearest neighbours (Å) after each atom.
Element x y z (fractional)
Fe 0.5167 0.7500 0.3686  5 Te 2.58-2.74
Fe 0.4833 0.2500 0.6314  5 Te 2.58-2.74
K 0.0101 0.2500 0.2564  7 Te 3.54-3.71
K 0.9899 0.7500 0.7436  7 Te 3.54-3.71
Mg 0.4437 0.2500 0.1212  5 Te 2.91-2.96, 2 Fe 3.16
Mg 0.5563 0.7500 0.8788  5 Te 2.91-2.96, 2 Fe 3.16
Te 0.2385 0.7500 0.1360  1 Fe 2.67, 2 Mg 2.91
Te 0.6842 0.7500 0.1971  1 Fe 2.74, 3 Mg 2.93-2.96
Te 0.6660 0.2500 0.4930  3 Fe 2.58-2.60
Te 0.3340 0.7500 0.5070  3 Fe 2.58-2.60
Te 0.3158 0.2500 0.8029  1 Fe 2.74, 3 Mg 2.93-2.96
Te 0.7615 0.2500 0.8640  1 Fe 2.67, 2 Mg 2.91

Calculated values
Space-group type: P2_1/m


<2>
The following is a DFT calculation (PBE-GGA) of a relaxed KMgFeTe3 crystal.

a = 8.2538 Å, b = 8.2538 Å, c = 10.8740 Å
α = 90.00°, β = 90.00°, γ = 150.61°
With the nearest neighbours (Å) after each atom.
Element x y z (fractional)
Fe 0.5000 0.5000 0.0000  6 Te 2.85-2.97
Fe 0.5000 0.5000 0.5000  6 Te 2.85-2.97
K 0.2535 0.7465 0.2500  8 Te 3.53-3.76
K 0.7465 0.2535 0.7500  8 Te 3.53-3.76
Mg 0.9660 0.0340 0.2500  4 Te 2.73
Mg 0.0340 0.9660 0.7500  4 Te 2.73
Te 0.8810 0.1190 0.0320  1 Mg 2.73, 2 Fe 2.85
Te 0.5752 0.4248 0.2500  2 Mg 2.73, 2 Fe 2.97
Te 0.8810 0.1190 0.4680  1 Mg 2.73, 2 Fe 2.85
Te 0.1190 0.8810 0.5320  1 Mg 2.73, 2 Fe 2.85
Te 0.4248 0.5752 0.7500  2 Mg 2.73, 2 Fe 2.97
Te 0.1190 0.8810 0.9680  1 Mg 2.73, 2 Fe 2.85

Calculated values
Space-group type: Cmcm


Tell me which of them is the least stable. Sure, it is <2>.